Entry 1:
Material: AcH8Rh2Pb
Method: DFT, GGA-PBE
State: relaxed

Results
ρ: 8.0 g/cm3
Magnetization: 0.00 Bohr magnetons per cell
Uncorrected energy: -50.4 eV per formula unit
Symmetry: R-3 (148)

Structure (CIF):
```
data_AcH8Rh2Pb
_chemical_formula_sum 'Ac1 H8 Rh2 Pb1'
_space_group_name_H-M_alt 'P 1'
_space_group_IT_number 1
_space_group_name_Hall 'P 1'
_cell_length_a 5.084
_cell_length_b 5.084
_cell_length_c 6.671
_cell_angle_alpha 67.60
_cell_angle_beta 67.60
_cell_angle_gamma 60.00
loop_
_atom_site_label
_atom_site_fract_x
_atom_site_fract_y
_atom_site_fract_z
Ac1 0.500 0.500 0.500
H1 0.472 0.903 0.150
H2 0.097 0.525 0.850
H3 0.808 0.808 0.575
H4 0.192 0.192 0.425
H5 0.475 0.472 0.150
H6 0.903 0.475 0.150
H7 0.528 0.097 0.850
H8 0.525 0.528 0.850
Pb1 0.000 0.000 0.000
Rh1 0.716 0.716 0.852
Rh2 0.284 0.284 0.148
```

***

Entry 2:
Material: AlIBr3
Method: DFT, GGA-PBE
State: relaxed

Results
Formation energy without anion corrections: -0.29 eV per atom
ρ: 4.6 g/cm3
Magnetization: 1.28 Bohr magnetons per cell
Uncorrected energy: -11.8 eV per formula unit
ΔE to the lowest computed polymorph: 0.550 eV per atom
Symmetry: Pm-3m (221)

Structure (CIF):
```
data_AlIBr3
_chemical_formula_sum 'Al1 I1 Br3'
_space_group_name_H-M_alt 'P 1'
_space_group_IT_number 1
_space_group_name_Hall 'P 1'
_cell_length_a 5.218
_cell_length_b 5.218
_cell_length_c 5.218
_cell_angle_alpha 90.00
_cell_angle_beta 90.00
_cell_angle_gamma 90.00
loop_
_atom_site_label
_atom_site_fract_x
_atom_site_fract_y
_atom_site_fract_z
Br1 0.000 0.500 0.000
I1 0.500 0.500 0.500
Br2 0.000 0.000 0.500
Br3 0.500 0.000 0.000
Al1 0.000 0.000 0.000
```

***

Entry 3:
Material: Ba2As4Rh
Method: DFT, GGA-PBE
State: relaxed

Results
ρ: 5.6 g/cm3
Magnetization: 0.00 Bohr magnetons per cell
Uncorrected energy: -32.9 eV per formula unit
ΔH_f (0 K): -0.448 eV per atom
Symmetry: I4/mmm (139)

Structure (CIF):
```
data_Ba2As4Rh
_chemical_formula_sum 'Ba2 As4 Rh1'
_space_group_name_H-M_alt 'P 1'
_space_group_IT_number 1
_space_group_name_Hall 'P 1'
_cell_length_a 4.885
_cell_length_b 4.885
_cell_length_c 9.029
_cell_angle_alpha 74.31
_cell_angle_beta 74.31
_cell_angle_gamma 90.00
loop_
_atom_site_label
_atom_site_fract_x
_atom_site_fract_y
_atom_site_fract_z
As1 0.846 0.846 0.308
Ba1 0.650 0.650 0.701
As2 0.154 0.154 0.692
Rh1 0.000 0.000 0.000
As3 0.000 0.500 0.000
As4 0.500 0.000 0.000
Ba2 0.350 0.350 0.299
```

***

- Which of these has the highest uncorrected energy?
  AlIBr3

***

- What is the uncorrected energy in the second record?
  -11.8 eV per formula unit